A plane-wave DFT calculation with PBE was carried out for an optimized crystal structure of Pr2HfIn.

SG ... P4/mmm
Excess energy over the best structure of this formula in the dataset ... 0 meV per atom
Formation enthalpy at 0 K ... -0.0760 eV/atom

abc: 4.8634 4.7946 4.7946
angles: 90.00 90.00 90.00
Fractional positions:
In: 0.5000 0.5000 0.5000
Hf: 0.5000 0.0000 0.0000
Pr: 0.0000 0.0000 0.5000
Pr: 0.0000 0.5000 0.0000